DFT (GGA+U) results for a relaxed structure of Rb3PuMn2O6.

Values from the calculation:
The value obtained for the spin magnetization is 13.0 μB/cell. As for the total energy: -7.013 eV per atom. The calculation puts the density of states at the Fermi level at 9.36 states/eV/f.u.

a b c (Å): 5.870 5.870 6.756
angles (deg): 98.17 98.17 120.19
Fractional positions:
Rb: 0.000 0.000 0.000
Rb: 0.327 0.673 0.000
Rb: 0.673 0.327 0.000
Pu: 0.500 0.500 0.500
Mn: 0.166 0.834 0.500
Mn: 0.834 0.166 0.500
O: 0.122 0.441 0.326
O: 0.241 0.241 0.678
O: 0.441 0.122 0.326
O: 0.559 0.878 0.674
O: 0.759 0.759 0.322
O: 0.878 0.559 0.674